[1]
CoTeCN2 | Alexandria via LeMat-Bulk | GGA-PBE | relaxed; ΔE to the lowest computed polymorph = 0.00 eV/f.u.; formation energy without anion corrections = 1.735 eV/atom; M_tot = 0.02 μB/atom; Fermi-level density of states = 2.290 states/eV/cell
1.0
3.438 0.000 0.000
0.000 3.438 0.000
0.000 0.000 6.306
N C Te Co
2 1 1 1
Cartesian
0.000 1.719 0.000
1.719 0.000 0.000
1.719 1.719 3.153
0.000 0.000 3.153
0.000 0.000 0.000

***

[2]
ScPbSeBr2 | Alexandria via LeMat-Bulk | GGA-PBE | relaxed; ΔE to the lowest computed polymorph = 0.00 eV/f.u.; formation energy without anion corrections = -0.901 eV/atom; M_tot = 0.00 μB/atom; Fermi-level density of states = 3.582 states/eV/cell
1.0
5.277 0.000 0.000
0.000 5.277 0.000
0.000 0.000 5.269
Se Sc Br Pb
1 1 2 1
Cartesian
0.000 0.000 2.634
0.000 0.000 0.000
0.000 2.639 0.000
2.639 0.000 0.000
2.639 2.639 2.634

***

[3]
SiAsPbSe2 | Alexandria via LeMat-Bulk | GGA-PBE | relaxed; ΔE to the lowest computed polymorph = 0.00 eV/f.u.; formation energy without anion corrections = 0.136 eV/atom; M_tot = 0.00 μB/atom; Fermi-level density of states = 3.763 states/eV/cell
1.0
-4.834 -0.589 -0.949
1.099 -3.264 -3.572
-0.195 -3.593 3.223
Se Pb As Si
2 1 1 1
Cartesian
-2.417 -0.295 -0.475
0.550 -1.632 -1.786
-1.965 -3.723 -0.649
-0.097 -1.796 1.611
0.000 0.000 0.000

***

[4]
ScFe4Pb | Alexandria via LeMat-Bulk | GGA-PBE | relaxed; M_tot = 1.23 μB/atom; DFT total energy = -43.94 eV for the cell shown; Fermi-level density of states = 5.414 states/eV/cell
1.0
0.000 3.526 3.526
3.526 0.000 3.526
3.526 3.526 0.000
Fe Sc Pb
4 1 1
Cartesian
2.642 2.642 2.642
4.411 4.411 2.642
4.411 2.642 4.411
2.642 4.411 4.411
0.000 0.000 0.000
5.290 5.290 5.290

***

[5]
TlCdPb2 | Alexandria via LeMat-Bulk | GGA-PBE | relaxed; ΔE to the lowest computed polymorph = 0.39 eV/f.u.; M_tot = 0.00 μB/atom; Fermi-level density of states = 5.305 states/eV/cell
1.0
4.601 0.000 0.000
0.000 4.601 0.000
2.300 2.300 11.742
Pb Tl Cd
4 2 2
Cartesian
5.751 5.737 8.806
3.437 1.150 2.935
3.450 3.464 8.806
1.164 3.450 2.935
0.000 0.000 0.000
4.601 2.300 5.871
2.300 4.601 5.871
2.300 2.300 0.000

***

[6]
Tc2IrF2 | Alexandria via LeMat-Bulk | GGA-PBE | relaxed; ΔE to the lowest computed polymorph = 0.20 eV/f.u.; formation energy without anion corrections = 0.163 eV/atom; M_tot = 0.00 μB/atom; Fermi-level density of states = 4.551 states/eV/cell
1.0
4.050 0.000 0.000
0.000 4.050 0.000
2.025 2.025 3.887
F Tc Ir
2 2 1
Cartesian
2.025 2.025 1.037
4.050 4.050 2.850
4.050 2.025 1.944
2.025 4.050 1.944
0.000 0.000 0.000

***

[7]
LiBeFe3 | Alexandria via LeMat-Bulk | GGA-PBE | relaxed; ΔE to the lowest computed polymorph = 2.60 eV/f.u.; M_tot = 1.40 μB/atom; Fermi-level density of states = 0.952 states/eV/cell
1.0
3.913 0.000 0.000
0.000 3.913 0.000
0.000 0.000 3.913
Be Fe Li
1 3 1
Cartesian
1.957 1.957 1.957
1.957 0.000 0.000
0.000 1.957 0.000
0.000 0.000 1.957
0.000 0.000 0.000

***

[8]
Tm3Zr2Al3 | Alexandria via LeMat-Bulk | GGA-PBE | relaxed; M_tot = 0.00 μB/atom; DFT total energy = -44.14 eV for the cell shown; Fermi-level density of states = 6.918 states/eV/cell
1.0
4.088 0.000 -0.658
-0.174 4.490 -1.080
-0.493 -0.002 9.961
Tm Al Zr
3 3 2
Cartesian
1.105 1.692 6.859
2.317 2.796 1.363
2.044 0.000 -0.329
-0.087 2.245 -0.540
0.385 0.589 2.388
3.037 3.899 5.835
0.666 3.399 4.138
2.755 1.089 4.085